--- a ---
8
Lattice="3.973 -6.509 0.000 3.973 6.509 0.000 0.000 0.000 7.564" Properties=species:S:1:pos:R:3 comment="BBr3 GGA-PBE relaxed" vol_a3_per_atom=48.90 pbc="T T T"
B 3.973 4.059 5.673
B 3.973 -4.059 1.891
Br 1.653 1.498 1.891
Br 1.653 -1.498 5.673
Br 3.973 2.149 5.673
Br 3.973 -2.149 1.891
Br 6.293 1.498 1.891
Br 6.293 -1.498 5.673

***

--- b ---
4
Lattice="2.518 1.454 7.443 -2.518 1.454 7.443 0.000 -2.907 7.443" Properties=species:S:1:pos:R:3 comment="BBr3 GGA-PBE relaxed" vol_a3_per_atom=40.85 pbc="T T T"
B 0.000 0.000 0.000
Br 0.000 0.000 1.774
Br 0.000 0.000 11.164
Br 0.000 0.000 20.554

***

--- c ---
8
Lattice="6.902 0.000 0.000 -3.451 5.977 0.000 0.000 0.000 8.037" Properties=species:S:1:pos:R:3 comment="BBr3 GGA-PBE relaxed" vol_a3_per_atom=41.44 pbc="T T T"
B 0.000 3.985 2.009
B 3.451 1.992 6.028
Br -0.852 2.276 2.009
Br -1.054 5.577 2.009
Br 1.545 1.876 6.028
Br 1.906 4.101 2.009
Br 4.504 0.400 6.028
Br 4.303 3.701 6.028

***

--- d ---
4
Lattice="0.000 3.666 3.666 3.666 0.000 3.666 3.666 3.666 0.000" Properties=species:S:1:pos:R:3 comment="BBr3 GGA-PBE relaxed" vol_a3_per_atom=24.64 pbc="T T T"
B 0.000 0.000 0.000
Br 1.833 1.833 1.833
Br 3.666 3.666 3.666
Br 5.500 5.500 5.500

***

Which one is most stable, and which one is least stable? c is the most stable of them, while d is the least stable.